No. 1
AlTl3Sb after structural relaxation, computed with PBE.

The magnetic moment comes out at 0.000 μB per formula unit. The value obtained for the density of states at the Fermi level is 0.74 states/eV/atom. Its total energy is -13.304 eV per formula unit. The density is 7.99 g/cm³.

The space group is Pm-3m (No. 221) and the conventional cell measures 5.4092, 5.4092 and 5.4092 Å, with angles of 90.00, 90.00 and 90.00 degrees. The asymmetric unit holds Al at (0.0000, 0.0000, 0.0000), Tl at (0.0000, 0.0000, 0.5000) and Sb at (0.5000, 0.5000, 0.5000).

***

No. 2
Al2TlSb2 after structural relaxation, computed with PBE.

The magnetic moment comes out at 0.000 μB per formula unit. The value obtained for the density of states at the Fermi level is 0.48 states/eV/atom. Its total energy is -17.254 eV per formula unit. The density is 6.58 g/cm³.

The space group is P4/mbm (No. 127) and the conventional cell measures 8.6444, 8.6444 and 3.3884 Å, with angles of 90.00, 90.00 and 90.00 degrees. The asymmetric unit holds Al at (0.1394, 0.3606, 0.0000), Tl at (0.0000, 0.0000, 0.5000) and Sb at (0.1529, 0.6529, 0.5000).

***

No. 3
AlTlSb2 after structural relaxation, computed with PBE.

The magnetic moment comes out at 0.000 μB per formula unit. The value obtained for the density of states at the Fermi level is 0.48 states/eV/atom. Its total energy is -13.690 eV per formula unit. The density is 7.51 g/cm³.

The space group is Immm (No. 71) and the conventional cell measures 3.6480, 5.2843 and 10.9010 Å, with angles of 90.00, 90.00 and 90.00 degrees. The asymmetric unit holds Al at (0.0000, 0.0000, 0.0000), Tl at (0.0000, 0.0000, 0.5000) and Sb at (0.0000, 0.5000, 0.2903).